DFT (GGA-PBE) results for a geometry-optimized BaCa6 structure.

Geometry as POSCAR:
```
BaCa6
1.0
-0.519 2.735 2.665
-7.621 -5.551 2.356
8.842 -2.881 2.821
Ca Ba
6 1
direct
0.904 0.707 0.564 Ca
0.198 0.857 0.293 Ca
0.802 0.143 0.707 Ca
0.096 0.293 0.436 Ca
0.659 0.564 0.857 Ca
0.341 0.436 0.143 Ca
0.500 0.000 0.000 Ba
```

Summary:
- DFT total energy: -13.727 eV per formula unit
- Energy above the most stable polymorph in this dataset: 0 meV/atom
- Formation energy: 0.029 eV/atom


DFT (GGA-PBE) results for a geometry-optimized BaCa3 structure.

Geometry as POSCAR:
```
BaCa3
1.0
-1.119 -2.567 3.049
3.561 0.779 1.963
-9.506 16.739 10.602
Ca Ba
6 2
direct
0.500 0.000 0.557 Ca
0.000 0.500 0.443 Ca
0.500 0.000 0.784 Ca
0.000 0.500 0.670 Ca
0.500 0.000 0.330 Ca
0.000 0.500 0.216 Ca
0.000 0.500 0.921 Ba
0.500 0.000 0.079 Ba
```

Summary:
- DFT total energy: -7.825 eV per formula unit
- Formation energy: 0.026 eV/atom


DFT (GGA-PBE) results for a geometry-optimized Ba2Ca structure.

Geometry as POSCAR:
```
Ba2Ca
1.0
8.482 -0.410 0.000
6.241 5.759 0.000
-7.362 -2.674 3.282
Ba Ca
2 1
direct
0.344 0.344 0.000 Ba
0.656 0.656 0.000 Ba
0.000 0.000 0.000 Ca
```

Summary:
- DFT total energy: -5.758 eV per formula unit
- Energy above the most stable polymorph in this dataset: 0 meV/atom
- Formation energy: 0.030 eV/atom


DFT (GGA-PBE) results for a geometry-optimized Ba3Ca structure.

Geometry as POSCAR:
```
Ba3Ca
1.0
-1.820 0.535 6.836
6.811 -2.500 2.009
2.931 8.101 0.147
Ba Ca
6 2
direct
0.500 0.658 0.000 Ba
0.500 0.166 0.252 Ba
0.000 0.834 0.248 Ba
0.000 0.342 0.500 Ba
0.000 0.834 0.752 Ba
0.500 0.166 0.748 Ba
0.000 0.329 0.000 Ca
0.500 0.671 0.500 Ca
```

Summary:
- DFT total energy: -7.650 eV per formula unit
- Energy above the most stable polymorph in this dataset: 7 meV/atom
- Formation energy: 0.030 eV/atom


no.,total moment (μB per formula unit),N(E_F) (states/eV/f.u.)
1,0.0,9.29
2,0.0,5.81
3,0.0,5.37
4,0.0,6.37